# 1
Entry from Alexandria via LeMat-Bulk: Er2Ni2Pt after structural relaxation (PBE-GGA).

As for the magnetization: 0.0000 μB/atom. The calculation puts the uncorrected energy at -30.42 eV/f.u. As for the calculated volume: 18.03 A^3/atom.

It has space group Immm (No. 71), with a = 4.3153 Å, b = 5.2591 Å, c = 7.9467 Å, α = 90.00°, β = 90.00° and γ = 90.00°. The asymmetric unit holds Er at (0.0000, 0.0000, 0.2058), Ni at (0.0000, 0.2768, 0.5000) and Pt at (0.0000, 0.5000, 0.0000).

# 2
Entry from Alexandria via LeMat-Bulk: ErScNiPt after structural relaxation (PBE-GGA).

As for the magnetization: 0.0000 μB/atom. The calculation puts the uncorrected energy at -26.11 eV/f.u. Its distance to the lowest polymorph of the same formula is 17.0 meV/atom. As for the calculated volume: 18.55 A^3/atom.

It has space group F-43m (No. 216), with a = 6.6706 Å, b = 6.6706 Å, c = 6.6706 Å, α = 90.00°, β = 90.00° and γ = 90.00°. The asymmetric unit holds Er at (0.0000, 0.0000, 0.0000), Sc at (0.0000, 0.0000, 0.5000), Ni at (0.2500, 0.2500, 0.2500) and Pt at (0.2500, 0.2500, 0.7500).

# 3
Entry from Alexandria via LeMat-Bulk: ErScNiPt after structural relaxation (PBE-GGA).

As for the magnetization: 0.0000 μB/atom. The calculation puts the uncorrected energy at -26.18 eV/f.u. Its distance to the lowest polymorph of the same formula is 0.0 meV/atom. As for the calculated volume: 19.43 A^3/atom.

It has space group Amm2 (No. 38), with a = 4.2805 Å, b = 3.6681 Å, c = 9.9012 Å, α = 90.00°, β = 90.00° and γ = 90.00°. The asymmetric unit holds Er at (0.0000, 0.0000, 0.0000), Sc at (0.5000, 0.0000, 0.7173), Ni at (0.0000, 0.0000, 0.2743) and Pt at (0.5000, 0.0000, 0.4327).

# 4
Entry from Alexandria via LeMat-Bulk: Er2SiNiPt6 after structural relaxation (PBE-GGA).

As for the magnetization: 0.0000 μB/atom. The calculation puts the uncorrected energy at -64.59 eV/f.u. The value obtained for the formation energy without anion corrections is -0.80 eV per atom. As for the calculated volume: 18.04 A^3/atom.

It has space group P-1 (No. 2), with a = 5.3830 Å, b = 6.1638 Å, c = 6.3374 Å, α = 80.21°, β = 68.92° and γ = 66.95°. The asymmetric unit holds Er at (0.0082, 0.2392, 0.2753), Si at (0.5000, 0.5000, 0.0000), Ni at (0.5000, 0.0000, 0.5000), Pt at (0.0015, 0.7208, 0.2591), Pt at (0.3698, 0.9033, 0.9067) and Pt at (0.4935, 0.3335, 0.6855).